KMgBr3 | SCAN | single point on PBEsol structure

Unit cell a=5.272 b=5.272 c=5.272 alpha=90.00 beta=90.00 gamma=90.00
Fractional coordinates of all 5 atoms:
K  0.500  0.500  0.500
Mg  0.000  0.000  0.000
Br  0.000  0.500  0.000
Br  0.000  0.000  0.500
Br  0.500  0.000  0.000

Raw total energy (Ry/atom): -1.182
Space-group type: Pm-3m (221)

---

Ir3Os | SCAN | single point on PBEsol structure

Unit cell a=3.826 b=3.826 c=3.826 alpha=90.00 beta=90.00 gamma=90.00
Fractional coordinates of all 4 atoms:
Ir  0.000  0.000  0.500
Ir  0.000  0.500  0.000
Ir  0.500  0.000  0.000
Os  0.500  0.500  0.500

Raw total energy (Ry/atom): -5.238
Formation energy from the elements (eV per atom): 0.0287
Space-group type: Pm-3m (221)

---

RbCO2 | SCAN | single point on PBEsol structure

Unit cell a=3.584 b=6.283 c=11.279 alpha=90.00 beta=90.00 gamma=90.00
Fractional coordinates of all 16 atoms:
C  0.000  0.932  0.441
C  0.000  0.068  0.559
C  0.000  0.432  0.059
C  0.000  0.568  0.941
O  0.000  0.731  0.453
O  0.000  0.269  0.547
O  0.000  0.231  0.047
O  0.000  0.769  0.953
O  0.000  0.032  0.344
O  0.000  0.968  0.656
O  0.000  0.532  0.156
O  0.000  0.468  0.844
Rb  0.500  0.404  0.349
Rb  0.500  0.596  0.651
Rb  0.500  0.904  0.151
Rb  0.500  0.096  0.849

Raw total energy (Ry/atom): -0.919
Space-group type: Pbam (55)

---

TlV12S16 | SCAN | single point on PBEsol structure

Unit cell a=6.364 b=9.013 c=9.557 alpha=118.13 beta=109.45 gamma=90.00
Fractional coordinates of all 29 atoms:
Tl  0.132  0.999  0.000
V  0.186  0.630  0.118
V  0.686  0.630  0.118
V  0.384  0.882  0.515
V  0.882  0.883  0.510
V  0.313  0.490  0.372
V  0.811  0.485  0.367
V  0.820  0.374  0.883
V  0.317  0.374  0.883
V  0.626  0.117  0.491
V  0.120  0.117  0.491
V  0.687  0.509  0.626
V  0.193  0.509  0.626
S  0.960  0.335  0.667
S  0.460  0.332  0.666
S  0.044  0.667  0.333
S  0.543  0.667  0.333
S  0.773  0.946  0.292
S  0.276  0.946  0.298
S  0.951  0.703  0.648
S  0.454  0.707  0.654
S  0.653  0.347  0.053
S  0.154  0.350  0.055
S  0.231  0.054  0.710
S  0.733  0.054  0.710
S  0.049  0.290  0.343
S  0.549  0.290  0.344
S  0.351  0.656  0.946
S  0.849  0.656  0.946

Raw total energy (Ry/atom): -1.187
Space-group type: P1 (1)
ΔE to the lowest computed polymorph (eV per formula unit): 0.00

---

LiPb2 | SCAN | single point on PBEsol structure

Unit cell a=3.603 b=4.565 c=5.593 alpha=114.09 beta=108.79 gamma=90.00
Fractional coordinates of all 3 atoms:
Pb  0.331  0.331  0.662
Pb  0.669  0.669  0.338
Li  0.000  0.000  0.000

Raw total energy (Ry/atom): -3.789
Formation energy from the elements (eV per atom): -0.2307
Space-group type: Immm (71)
ΔE to the lowest computed polymorph (eV per formula unit): 0.01

---

Ba2LaCu | SCAN | single point on PBEsol structure

Unit cell a=4.834 b=4.834 c=6.681 alpha=111.21 beta=111.21 gamma=90.00
Fractional coordinates of all 4 atoms:
Ba  0.750  0.250  0.500
Ba  0.250  0.750  0.500
Cu  0.500  0.500  0.000
La  0.000  0.000  0.000

Raw total energy (Ry/atom): -2.494
Formation energy from the elements (eV per atom): 0.4184
Space-group type: I4/mmm (139)

---

Tc | SCAN | single point on PBEsol structure

Unit cell a=3.868 b=3.868 c=3.868 alpha=60.00 beta=60.00 gamma=60.00
Fractional coordinates of all 2 atoms:
Tc  0.500  0.500  0.500
Tc  0.750  0.750  0.750

Raw total energy (Ry/atom): -2.473
Formation energy from the elements (eV per atom): 1.4187
Space-group type: Fd-3m (227)
ΔE to the lowest computed polymorph (eV per formula unit): 1.42

---

KCdIr2 | SCAN | single point on PBEsol structure

Unit cell a=2.827 b=4.912 c=5.868 alpha=114.74 beta=103.94 gamma=90.00
Fractional coordinates of all 4 atoms:
Cd  0.000  0.500  0.000
Ir  0.728  0.728  0.456
Ir  0.272  0.272  0.544
K  0.500  0.000  0.000

Raw total energy (Ry/atom): -3.277
Formation energy from the elements (eV per atom): 0.6488
Space-group type: Immm (71)